[1]
VASP calculation (GGA-PBE) on a geometry-optimized Dy2UCuS6 structure.

The structure in POSCAR format:
```
Dy2UCuS6
1.0
5.906 0.000 0.000
0.000 6.462 0.000
0.000 0.000 6.462
Dy U Cu S
2 1 1 6
Direct
0.993 0.500 0.000
0.993 0.000 0.500
0.621 0.500 0.500
0.551 0.000 0.000
0.736 0.236 0.236
0.736 0.236 0.764
0.165 0.500 0.500
0.179 0.000 0.000
0.736 0.764 0.764
0.736 0.764 0.236
```

Calculated values
E = -6.07 eV per atom
ΔE_f (raw) = -1.13 eV/atom


[2]
VASP calculation (GGA-PBE) on a geometry-optimized DyU2CuS5 structure.

The structure in POSCAR format:
```
DyU2CuS5
1.0
3.751 0.000 0.000
-1.876 8.090 0.000
0.000 0.000 11.789
Dy U Cu S
2 4 2 10
Direct
0.819 0.639 0.527
0.181 0.361 0.027
0.886 0.771 0.849
0.118 0.235 0.692
0.114 0.229 0.349
0.882 0.765 0.192
0.550 0.100 0.922
0.450 0.900 0.422
0.348 0.695 0.020
0.687 0.374 0.856
0.493 0.987 0.748
0.302 0.604 0.692
0.988 0.976 0.517
0.652 0.305 0.520
0.313 0.626 0.356
0.507 0.013 0.248
0.698 0.396 0.192
0.012 0.024 0.017
```

Calculated values
E = -7.14 eV per atom
ΔE_f (raw) = -1.37 eV/atom


- Which value of ΔE_f (raw) does entry 1 give?
  -1.13 eV/atom


- The lowest E belongs to which entry?
  DyU2CuS5


Copy entry 1 word for word.
VASP calculation (GGA-PBE) on a geometry-optimized Dy2UCuS6 structure.

The structure in POSCAR format:
```
Dy2UCuS6
1.0
5.906 0.000 0.000
0.000 6.462 0.000
0.000 0.000 6.462
Dy U Cu S
2 1 1 6
Direct
0.993 0.500 0.000
0.993 0.000 0.500
0.621 0.500 0.500
0.551 0.000 0.000
0.736 0.236 0.236
0.736 0.236 0.764
0.165 0.500 0.500
0.179 0.000 0.000
0.736 0.764 0.764
0.736 0.764 0.236
```

Calculated values
E = -6.07 eV per atom
ΔE_f (raw) = -1.13 eV/atom